(1)
# ScBIr3

An optimized crystal structure of ScBIr3 (PBEsol, the Alexandria database).

```
ScBIr3
1.0
-1.596 -3.758 0.445
3.565 -1.331 1.545
-1.270 0.986 3.779
Ir B Sc
3 1 1
Cartesian
-0.798 -1.879 0.222
1.782 -0.665 0.772
-0.635 0.493 1.889
0.000 0.000 0.000
0.350 -2.051 2.884
```

Output
The space-group type is No. 221. For the total DFT energy (no corrections), the calculation gives -9.247 eV per atom. The calculation puts the formation energy at -0.629 eV/atom.

***

(2)
# Sc2SiB2Ir5

An optimized crystal structure of Sc2SiB2Ir5 (PBEsol, the Alexandria database).

```
Sc2SiB2Ir5
1.0
3.100 0.000 0.000
0.000 9.154 0.000
0.000 0.000 9.154
Ir B Si Sc
10 4 2 4
Cartesian
1.550 4.577 0.000
1.550 2.634 3.935
1.550 0.000 4.577
1.550 0.642 1.943
1.550 8.512 7.211
1.550 6.520 5.219
1.550 7.211 0.642
1.550 1.943 8.512
1.550 5.219 2.634
1.550 3.935 6.520
0.000 8.020 5.711
0.000 1.134 3.443
0.000 3.443 8.020
0.000 5.711 1.134
0.000 0.000 0.000
0.000 4.577 4.577
0.000 2.972 1.605
0.000 1.605 6.182
0.000 7.549 2.972
0.000 6.182 7.549
```

Output
The space-group type is No. 127. The uncorrected formation energy comes out at -0.892 eV/atom. For the total DFT energy (no corrections), the calculation gives -9.103 eV per atom.

***

Which of these has the lowest total DFT energy (no corrections)?
ScBIr3

***

The lowest total DFT energy (no corrections) belongs to which entry?
ScBIr3

***

What did the first record say?
# ScBIr3

An optimized crystal structure of ScBIr3 (PBEsol, the Alexandria database).

```
ScBIr3
1.0
-1.596 -3.758 0.445
3.565 -1.331 1.545
-1.270 0.986 3.779
Ir B Sc
3 1 1
Cartesian
-0.798 -1.879 0.222
1.782 -0.665 0.772
-0.635 0.493 1.889
0.000 0.000 0.000
0.350 -2.051 2.884
```

Output
The space-group type is No. 221. For the total DFT energy (no corrections), the calculation gives -9.247 eV per atom. The calculation puts the formation energy at -0.629 eV/atom.

***

Which formula does entry 2 have?
Sc2SiB2Ir5